4
Lattice="4.562 -0.007 0.000 1.112 4.425 0.000 -2.837 -2.209 2.808" Properties=species:S:1:pos:R:3 comment="GGA-PBE Cu2IrAu, optimized geometry" e_tot_ev_per_atom=-4.8870 m_tot_mub_per_fu=0.00 e_form_ev_per_atom=0.196 dos_at_fermi_per_ev_cell=4.757 pbc="T T T"
Au 2.281 -0.004 1.404
Cu 0.000 0.000 0.000
Cu 2.837 2.209 0.000
Ir 0.556 2.212 1.404

---

38
Lattice="10.253 0.000 0.000 0.000 6.366 -0.013 0.000 0.990 9.947" Properties=species:S:1:pos:R:3 comment="GGA-PBE Hg7P2O10, optimized geometry" e_tot_ev_per_atom=-4.3241 m_tot_mub_per_fu=0.00 pbc="T T T"
Hg 1.426 5.203 3.515
Hg 6.552 1.658 1.445
Hg 8.827 2.153 6.418
Hg 3.701 5.699 8.489
Hg 3.603 0.502 4.061
Hg 8.729 6.359 0.899
Hg 6.650 6.854 5.872
Hg 1.523 0.998 9.035
Hg 1.223 1.531 3.064
Hg 6.349 5.330 1.896
Hg 9.030 5.826 6.869
Hg 3.903 2.026 8.038
Hg 5.126 3.678 4.967
Hg 0.000 3.183 -0.007
O 2.164 3.388 2.076
O 7.290 3.473 2.884
O 8.089 3.968 7.857
O 2.962 3.884 7.050
O 5.477 5.607 4.336
O 0.350 1.254 0.624
O 4.776 1.750 5.597
O 9.902 6.102 9.310
O 1.603 3.436 4.944
O 6.730 3.425 0.016
O 8.650 3.920 4.989
O 3.523 3.931 9.918
O 4.194 4.768 1.631
O 9.320 2.093 3.329
O 6.059 2.588 8.302
O 0.933 5.264 6.605
O 9.578 4.605 2.707
O 4.452 2.256 2.253
O 0.674 2.751 7.226
O 5.801 5.100 7.681
P 3.618 3.333 1.476
P 8.744 3.528 3.484
P 6.635 4.023 8.458
P 1.508 3.828 6.449

---

12
Lattice="3.961 0.000 0.000 0.000 3.961 0.000 0.000 0.000 11.802" Properties=species:S:1:pos:R:3 comment="GGA-PBE TaZn2Pt9, optimized geometry" e_tot_ev_per_atom=-6.2464 m_tot_mub_per_fu=0.00 e_form_ev_per_atom=-0.516 dos_at_fermi_per_ev_cell=9.899 pbc="T T T"
Ta 0.000 0.000 0.000
Zn 0.000 0.000 4.006
Zn 0.000 0.000 7.796
Pt 1.980 1.980 0.000
Pt 1.980 1.980 3.937
Pt 1.980 1.980 7.866
Pt 1.980 0.000 1.957
Pt 1.980 0.000 5.901
Pt 1.980 0.000 9.846
Pt 0.000 1.980 1.957
Pt 0.000 1.980 5.901
Pt 0.000 1.980 9.846

---

5
Lattice="4.680 0.000 0.000 0.000 4.680 0.000 0.000 0.000 4.680" Properties=species:S:1:pos:R:3 comment="GGA-PBE PuRu4, optimized geometry" e_tot_ev_per_atom=-8.6037 m_tot_mub_per_fu=2.13 e_form_ev_per_atom=1.683 dos_at_fermi_per_ev_cell=8.869 pbc="T T T"
Ru 0.000 0.000 0.000
Ru 2.340 0.000 2.340
Ru 0.000 2.340 2.340
Ru 2.340 2.340 0.000
Pu 2.340 2.340 2.340

---

8
Lattice="5.097 0.000 0.000 0.000 4.970 1.118 0.000 2.722 11.105" Properties=species:S:1:pos:R:3 comment="GGA-PBE Pm4SmHo2Th, optimized geometry" e_tot_ev_per_atom=-5.0098 m_tot_mub_per_fu=0.00 e_form_ev_per_atom=0.027 dos_at_fermi_per_ev_cell=11.297 pbc="T T T"
Pm 0.000 5.776 9.141
Pm 5.097 1.916 3.082
Pm 2.549 4.399 3.652
Pm 2.549 3.293 8.571
Sm 2.549 2.485 0.559
Ho 0.000 2.722 11.105
Ho 2.549 1.361 5.553
Th 0.000 3.846 6.112

---

4
Lattice="-2.315 0.009 -2.742 -1.163 -0.667 3.328 -1.433 8.682 1.238" Properties=species:S:1:pos:R:3 comment="GGA-PBE KAs3, optimized geometry" e_tot_ev_per_atom=-3.6200 m_tot_mub_per_fu=0.00 e_form_ev_per_atom=0.142 relative_energy_mev_per_atom=265 dos_at_fermi_per_ev_cell=0.861 pbc="T T T"
As -0.074 0.446 0.064
As -0.643 3.895 0.555
As -2.289 1.954 -0.409
K -3.006 6.295 0.210

---

7
Lattice="4.814 0.001 0.000 -2.407 4.171 0.006 0.000 -0.010 7.357" Properties=species:S:1:pos:R:3 comment="GGA-PBE Ti4Nb2Tl, optimized geometry" e_tot_ev_per_atom=-7.1105 m_tot_mub_per_fu=0.00 e_form_ev_per_atom=0.616 dos_at_fermi_per_ev_cell=9.453 pbc="T T T"
Ti 2.408 1.388 1.810
Ti 0.000 2.774 5.552
Ti 2.407 1.385 4.334
Ti 0.000 2.777 3.029
Nb 2.407 1.381 6.781
Nb 0.000 2.781 0.582
Tl 0.000 -0.005 3.678

---

10
Lattice="-3.702 2.983 1.219 -1.765 -0.324 -4.568 -6.366 -9.169 3.112" Properties=species:S:1:pos:R:3 comment="GGA-PBE Ba2Zn4SnPb3, optimized geometry" e_tot_ev_per_atom=-2.7138 m_tot_mub_per_fu=0.00 e_form_ev_per_atom=-0.307 dos_at_fermi_per_ev_cell=1.422 pbc="T T T"
Ba -3.379 -0.710 1.357
Ba -5.720 -7.130 0.080
Zn -2.733 1.329 -1.675
Zn 0.000 0.000 0.000
Zn -5.884 -4.317 2.581
Zn -3.216 -3.523 -1.144
Sn -5.916 -3.255 -0.119
Pb -3.183 -4.585 1.556
Pb -7.410 -6.516 3.327
Pb -1.689 -1.324 -1.890

---

4
Lattice="4.391 0.000 0.000 0.000 4.398 0.000 0.000 0.000 5.481" Properties=species:S:1:pos:R:3 comment="GGA-PBE Ba2TaRh, optimized geometry" e_tot_ev_per_atom=-4.7733 m_tot_mub_per_fu=0.00 e_form_ev_per_atom=0.989 relative_energy_mev_per_atom=787 dos_at_fermi_per_ev_cell=5.095 pbc="T T T"
Ba 0.000 0.000 0.000
Ba 2.195 2.199 0.000
Ta 0.000 2.199 2.740
Rh 2.195 0.000 2.740

---

5
Lattice="-5.125 -1.709 0.343 0.981 -3.710 -3.818 0.970 -2.393 2.574" Properties=species:S:1:pos:R:3 comment="GGA-PBE La2CdFeN, optimized geometry" e_tot_ev_per_atom=-6.0632 m_tot_mub_per_fu=0.35 dos_at_fermi_per_ev_cell=3.831 pbc="T T T"
N 0.000 0.000 0.000
Cd -1.587 -3.906 -0.450
Fe 0.485 -1.197 1.287
La 0.491 -1.855 -1.909
La -2.563 -0.854 0.172

---

22
Lattice="-0.598 -4.563 -2.073 0.818 -3.100 12.731 -9.660 0.886 0.836" Properties=species:S:1:pos:R:3 comment="GGA-PBE Na3Hg7Bi, optimized geometry" e_tot_ev_per_atom=-1.0468 m_tot_mub_per_fu=0.00 e_form_ev_per_atom=-0.142 dos_at_fermi_per_ev_cell=7.594 pbc="T T T"
Na -4.277 -0.599 2.551
Na -5.163 -6.179 8.944
Na -7.012 -1.754 5.882
Na -2.428 -5.024 5.613
Na -0.360 -0.958 2.212
Na -9.080 -5.819 9.283
Hg -6.815 -3.797 10.322
Hg -2.625 -2.980 1.173
Hg -3.532 -4.477 10.873
Hg -5.908 -2.300 0.622
Hg -9.077 -2.009 0.896
Hg -0.364 -4.768 10.598
Hg -3.798 -3.193 8.123
Hg -5.643 -3.584 3.371
Hg -3.710 -1.919 5.294
Hg -5.730 -4.858 6.201
Hg -8.760 -4.580 6.463
Hg -0.680 -2.197 5.031
Hg -0.344 -3.510 7.824
Hg -9.097 -3.267 3.670
Bi -2.209 -7.296 10.552
Bi -7.231 0.519 0.943

---

3
Lattice="-0.259 3.489 -0.938 -2.930 -0.753 -1.991 -1.049 -0.597 5.062" Properties=species:S:1:pos:R:3 comment="GGA-PBE LuZnAu, optimized geometry" e_tot_ev_per_atom=-3.5791 m_tot_mub_per_fu=0.00 e_form_ev_per_atom=-0.555 dos_at_fermi_per_ev_cell=0.918 pbc="T T T"
Zn -1.459 0.425 1.986
Lu -3.982 2.064 1.786
Au -2.241 1.556 -0.585